CsAcV2O7 after structural relaxation, computed with PBE with a Hubbard U.

Lattice parameters (Å, degrees): 3.794 3.794 11.188 90.00 90.00 90.00
Element x y z (fractional)
Cs (0.000, 0.000, 0.000)
Ac (0.000, 0.000, 0.500)
V (0.500, 0.500, 0.295)
V (0.500, 0.500, 0.705)
O (0.000, 0.500, 0.325)
O (0.000, 0.500, 0.675)
O (0.500, 0.000, 0.325)
O (0.500, 0.000, 0.675)
O (0.500, 0.500, 0.145)
O (0.500, 0.500, 0.500)
O (0.500, 0.500, 0.855)

Results
Space group: P4/mmm
Crystal system: tetragonal
Size of the total moment: 0.00 μB/f.u.
Total DFT energy (no corrections): -7.259 eV per atom